## EuCuSn2 (GGA-PBE)

Data for a relaxed EuCuSn2 crystal.

Values from the calculation:
Final energy = -96.5 eV/cell
Formation enthalpy at 0 K = -168 kJ/mol of formula units
N(E_F) = 2.892 states/eV per atom
Mass density = 7520 kg/m3

Unit cell a=4.531 b=19.263 c=4.583 alpha=90.00 beta=90.00 gamma=90.00
Sites, in units of the cell vectors:
Eu  0.000  0.107  0.250
Eu  0.000  0.893  0.750
Eu  0.500  0.393  0.750
Eu  0.500  0.607  0.250
Cu  0.000  0.325  0.250
Cu  0.000  0.675  0.750
Cu  0.500  0.175  0.750
Cu  0.500  0.825  0.250
Sn  0.000  0.251  0.750
Sn  0.000  0.457  0.250
Sn  0.000  0.543  0.750
Sn  0.000  0.749  0.250
Sn  0.500  0.043  0.750
Sn  0.500  0.249  0.250
Sn  0.500  0.751  0.750
Sn  0.500  0.957  0.250

---

## AsC2 (GGA-PBE)

Data for a relaxed AsC2 crystal.

Values from the calculation:
Final energy = -70.9 eV/cell
Formation enthalpy at 0 K = 519 kJ/mol of formula units
N(E_F) = 0.318 states/eV per atom
Mass density = 5111 kg/m3

Unit cell a=4.735 b=4.735 c=5.734 alpha=90.00 beta=90.00 gamma=90.00
Sites, in units of the cell vectors:
As  0.000  0.000  0.250
As  0.000  0.000  0.750
As  0.500  0.500  0.250
As  0.500  0.500  0.750
C  0.098  0.402  0.000
C  0.098  0.598  0.500
C  0.402  0.098  0.500
C  0.402  0.902  0.000
C  0.598  0.098  0.000
C  0.598  0.902  0.500
C  0.902  0.402  0.500
C  0.902  0.598  0.000

---

## InSb3P (GGA-PBE)

Data for a relaxed InSb3P crystal.

Values from the calculation:
Final energy = -14.4 eV/cell
ΔE_f (raw) = 1.221 eV per atom
N(E_F) = 1.457 states/eV per atom
Mass density = 5010 kg/m3

Unit cell a=5.533 b=5.533 c=5.533 alpha=90.00 beta=90.00 gamma=90.00
Sites, in units of the cell vectors:
In  0.000  0.000  0.000
Sb  0.000  0.000  0.500
Sb  0.000  0.500  0.000
Sb  0.500  0.000  0.000
P  0.500  0.500  0.500

---

## DyThAl4 (GGA-PBE)

Data for a relaxed DyThAl4 crystal.

Values from the calculation:
Final energy = -29.7 eV/cell
Formation enthalpy at 0 K = -266 kJ/mol of formula units
N(E_F) = 0.397 states/eV per atom
Mass density = 6591 kg/m3

Unit cell a=5.636 b=5.636 c=5.636 alpha=60.00 beta=60.00 gamma=60.00
Sites, in units of the cell vectors:
Dy  0.000  0.000  0.000
Th  0.750  0.750  0.750
Al  0.375  0.375  0.375
Al  0.375  0.375  0.875
Al  0.375  0.875  0.375
Al  0.875  0.375  0.375